Density functional theory data (GGA-PBE) for a relaxed LiFe2As crystal.

Values from the calculation:
Electronic total energy   -69.2 eV per cell
Formation energy   0.4 eV per formula unit
Magnetization   13.223 μB/cell

Cell and atoms, written as CIF:
```
data_LiFe2As
_cell_length_a 2.8785
_cell_length_b 2.8785
_cell_length_c 23.9017
_cell_angle_alpha 90.00
_cell_angle_beta 90.00
_cell_angle_gamma 120.00
_symmetry_space_group_name_H-M 'R 3 m'
_symmetry_Int_Tables_number 160
_symmetry_space_group_name_Hall 'R 3 -2"'
loop_
_atom_site_label
_atom_site_type_symbol
_atom_site_fract_x
_atom_site_fract_y
_atom_site_fract_z
Li1 Li 0.0000 0.0000 0.0000
Fe1 Fe 0.0000 0.0000 0.2405
Fe2 Fe 0.0000 0.0000 0.5011
As1 As 0.0000 0.0000 0.7601
```